Entry 1:
Re2Se: optimized geometry, PBE.

CIF file:
```
data_Re2Se
_chemical_formula_sum 'Re8 Se4'
_cell_length_a 5.3429
_cell_length_b 5.3429
_cell_length_c 9.3317
_cell_angle_alpha 90.00
_cell_angle_beta 90.00
_cell_angle_gamma 120.00
_symmetry_space_group_name_H-M 'P 63/m m c'
_symmetry_Int_Tables_number 194
_symmetry_space_group_name_Hall '-P 6c 2c'
loop_
_atom_site_label
_atom_site_type_symbol
_atom_site_fract_x
_atom_site_fract_y
_atom_site_fract_z
_atom_site_occupancy
Re1 Re 0.0000 0.0000 0.0000 1
Re2 Re 0.1572 0.3144 0.2500 1
Se1 Se 0.3333 0.6667 0.0412 1
```

## Properties
* energy relative to the elements, uncorrected: 89.88 kJ/mol of atoms


Entry 2:
RbAlSCl2: optimized geometry, PBE.

CIF file:
```
data_RbAlSCl2
_chemical_formula_sum 'Rb1 Al1 S1 Cl2'
_cell_length_a 5.110
_cell_length_b 5.110
_cell_length_c 4.530
_cell_angle_alpha 90.00
_cell_angle_beta 90.00
_cell_angle_gamma 90.00
_symmetry_space_group_name_H-M 'P 4/m m m'
_symmetry_Int_Tables_number 123
_symmetry_space_group_name_Hall '-P 4 2'
loop_
_atom_site_label
_atom_site_type_symbol
_atom_site_fract_x
_atom_site_fract_y
_atom_site_fract_z
_atom_site_occupancy
Rb1 Rb 0.000 0.000 0.000 1
Al1 Al 0.500 0.500 0.500 1
S1 S 0.500 0.500 0.000 1
Cl1 Cl 0.000 0.500 0.500 1
```

## Properties
* energy relative to the elements, uncorrected: -123.02 kJ/mol of atoms


Entry 3:
NbGaN2: optimized geometry, PBE.

CIF file:
```
data_NbGaN2
_chemical_formula_sum 'Nb3 Ga3 N6'
_cell_length_a 3.0998
_cell_length_b 3.0998
_cell_length_c 18.9859
_cell_angle_alpha 90.00
_cell_angle_beta 90.00
_cell_angle_gamma 120.00
_symmetry_space_group_name_H-M 'R -3 m'
_symmetry_Int_Tables_number 166
_symmetry_space_group_name_Hall '-R 3 2"'
loop_
_atom_site_label
_atom_site_type_symbol
_atom_site_fract_x
_atom_site_fract_y
_atom_site_fract_z
_atom_site_occupancy
Nb1 Nb 0.0000 0.0000 0.0000 1
Ga1 Ga 0.0000 0.0000 0.5000 1
N1 N 0.0000 0.0000 0.3942 1
```

## Properties
* energy relative to the elements, uncorrected: -39.27 kJ/mol of atoms


Entry 4:
Al2GaMo: optimized geometry, PBE.

CIF file:
```
data_Al2GaMo
_chemical_formula_sum 'Al6 Ga3 Mo3'
_cell_length_a 2.8870
_cell_length_b 2.8870
_cell_length_c 28.6382
_cell_angle_alpha 90.00
_cell_angle_beta 90.00
_cell_angle_gamma 120.00
_symmetry_space_group_name_H-M 'R -3 m'
_symmetry_Int_Tables_number 166
_symmetry_space_group_name_Hall '-R 3 2"'
loop_
_atom_site_label
_atom_site_type_symbol
_atom_site_fract_x
_atom_site_fract_y
_atom_site_fract_z
_atom_site_occupancy
Al1 Al 0.0000 0.0000 0.0911 1
Ga1 Ga 0.0000 0.0000 0.0000 1
Mo1 Mo 0.0000 0.0000 0.5000 1
```

## Properties
* ΔH_f (0 K): 0.2 eV/f.u.


Entry 5:
Tl2ZnIr: optimized geometry, PBE.

CIF file:
```
data_Tl2ZnIr
_chemical_formula_sum 'Tl2 Zn1 Ir1'
_cell_length_a 4.714
_cell_length_b 3.202
_cell_length_c 5.873
_cell_angle_alpha 90.00
_cell_angle_beta 111.26
_cell_angle_gamma 90.00
_symmetry_space_group_name_H-M 'P 1 2/m 1'
_symmetry_Int_Tables_number 10
_symmetry_space_group_name_Hall '-P 2y'
loop_
_atom_site_label
_atom_site_type_symbol
_atom_site_fract_x
_atom_site_fract_y
_atom_site_fract_z
_atom_site_occupancy
Tl1 Tl 0.000 0.000 0.000 1
Tl2 Tl 0.500 0.500 0.500 1
Zn1 Zn 0.000 0.000 0.500 1
Ir1 Ir 0.500 0.500 0.000 1
```

## Properties
* ΔH_f (0 K): 2.0 eV/f.u.


Entry 6:
Ag3S2: optimized geometry, PBE.

CIF file:
```
data_Ag3S2
_chemical_formula_sum 'Ag12 S8'
_cell_length_a 11.211
_cell_length_b 6.501
_cell_length_c 6.912
_cell_angle_alpha 90.00
_cell_angle_beta 123.44
_cell_angle_gamma 90.00
_symmetry_space_group_name_H-M 'C 1 2/c 1'
_symmetry_Int_Tables_number 15
_symmetry_space_group_name_Hall '-C 2yc'
loop_
_atom_site_label
_atom_site_type_symbol
_atom_site_fract_x
_atom_site_fract_y
_atom_site_fract_z
_atom_site_occupancy
Ag1 Ag 0.000 0.017 0.250 1
Ag2 Ag 0.136 0.387 0.755 1
S1 S 0.118 0.250 0.109 1
```

## Properties
* energy relative to the elements, uncorrected: 7.07 kJ/mol of atoms


Copy entry 1 word for word.
Re2Se: optimized geometry, PBE.

CIF file:
```
data_Re2Se
_chemical_formula_sum 'Re8 Se4'
_cell_length_a 5.3429
_cell_length_b 5.3429
_cell_length_c 9.3317
_cell_angle_alpha 90.00
_cell_angle_beta 90.00
_cell_angle_gamma 120.00
_symmetry_space_group_name_H-M 'P 63/m m c'
_symmetry_Int_Tables_number 194
_symmetry_space_group_name_Hall '-P 6c 2c'
loop_
_atom_site_label
_atom_site_type_symbol
_atom_site_fract_x
_atom_site_fract_y
_atom_site_fract_z
_atom_site_occupancy
Re1 Re 0.0000 0.0000 0.0000 1
Re2 Re 0.1572 0.3144 0.2500 1
Se1 Se 0.3333 0.6667 0.0412 1
```

## Properties
* energy relative to the elements, uncorrected: 89.88 kJ/mol of atoms